Below is a relaxed K4AgSb2Au crystal, with properties calculated at the PBE-GGA level.

Properties
- V (Å³/f.u.) = 277.2
- symmetry = C2/m (12)
- uncorrected energy (eV per atom) = -2.81

Cell: 8.117 10.596 6.446 Å, 90.00 90.40 90.00°
Fractional coordinates of all 16 atoms:
K 0.161 0.171 0.247
K 0.161 0.829 0.247
K 0.339 0.329 0.753
K 0.339 0.671 0.753
K 0.661 0.329 0.247
K 0.661 0.671 0.247
K 0.839 0.171 0.753
K 0.839 0.829 0.753
Ag 0.000 0.500 0.500
Ag 0.500 0.000 0.500
Sb 0.232 0.000 0.750
Sb 0.268 0.500 0.250
Sb 0.732 0.500 0.750
Sb 0.768 0.000 0.250
Au 0.000 0.500 0.000
Au 0.500 0.000 0.000